[1]
An optimized crystal structure of MnCr3Cd3O8. Source: the Alexandria database, functional PBE+U.

```
data_MnCr3Cd3O8
_chemical_formula_sum 'Mn2 Cr6 Cd6 O16'
_cell_length_a 10.400
_cell_length_b 5.996
_cell_length_c 7.114
_cell_angle_alpha 90.00
_cell_angle_beta 117.87
_cell_angle_gamma 90.00
_symmetry_space_group_name_H-M 'C 1 2/m 1'
_symmetry_Int_Tables_number 12
loop_
_symmetry_equiv_pos_as_xyz
'x,y,z'
'-x,-y,-z'
'-x,y,-z'
'x,-y,z'
'x+1/2,y+1/2,z'
'-x+1/2,-y+1/2,-z'
'-x+1/2,y+1/2,-z'
'x+1/2,-y+1/2,z'
loop_
_atom_site_label
_atom_site_fract_x
_atom_site_fract_y
_atom_site_fract_z
Mn1 0.000 0.000 0.000
Cr1 0.000 0.500 0.000
Cr2 0.250 0.250 0.000
Cd1 0.000 0.000 0.500
Cd2 0.250 0.250 0.500
O1 0.028 0.241 0.836
O2 0.213 0.000 0.164
O3 0.219 0.500 0.163
```

[2]
An optimized crystal structure of Mn2CrCd2O6. Source: the Alexandria database, functional PBE+U.

```
data_Mn2CrCd2O6
_chemical_formula_sum 'Mn4 Cr2 Cd4 O12'
_cell_length_a 5.622
_cell_length_b 9.160
_cell_length_c 5.736
_cell_angle_alpha 90.00
_cell_angle_beta 109.79
_cell_angle_gamma 90.00
_symmetry_space_group_name_H-M 'C 1 2/m 1'
_symmetry_Int_Tables_number 12
loop_
_symmetry_equiv_pos_as_xyz
'x,y,z'
'-x,-y,-z'
'-x,y,-z'
'x,-y,z'
'x+1/2,y+1/2,z'
'-x+1/2,-y+1/2,-z'
'-x+1/2,y+1/2,-z'
'x+1/2,-y+1/2,z'
loop_
_atom_site_label
_atom_site_fract_x
_atom_site_fract_y
_atom_site_fract_z
Mn1 0.000 0.164 0.000
Cr1 0.000 0.500 0.000
Cd1 0.000 0.328 0.500
O1 0.205 0.330 0.214
O2 0.249 0.500 0.813
```

no.,electronic total energy (eV per atom)
1,-6.17
2,-6.34